The following is a DFT calculation (PBE) of a geometry-optimized TiReSiIr structure.

Output
Total moment in μB/cell: 0.0
Space-group type: F-43m (216)
Uncorrected formation energy in eV/f.u.: -2.54
Calculated density in g cm⁻³: 13.49
Crystal system: cubic

Cell: 4.293 4.293 4.293 Å, 60.00 60.00 60.00°
Element x y z (fractional)
Ti (0.000, 0.000, 0.000)
Re (0.750, 0.750, 0.750)
Si (0.500, 0.500, 0.500)
Ir (0.250, 0.250, 0.250)